[1]
FeNO2F: optimized geometry, PBE+U.

Properties
**M_tot**: 6.347 μB per formula unit
**V**: 10.77 Å³/atom
**Crystal system**: tetragonal
**E**: -3.73 eV per atom

Cell lengths 3.943, 3.943, 3.465 Å; angles 90.00, 90.00, 90.00 degrees
Positions (direct):
Fe1 0.000 0.000 0.000
N1 0.500 0.500 0.000
O1 0.000 0.500 0.500
O2 0.500 0.000 0.500
F1 0.500 0.500 0.500


[2]
FeN2OF: optimized geometry, PBE+U.

Properties
**M_tot**: 1.013 μB per formula unit
**V**: 11.41 Å³/atom
**Crystal system**: tetragonal
**E**: -4.63 eV per atom

Cell lengths 3.950, 3.950, 3.656 Å; angles 90.00, 90.00, 90.00 degrees
Positions (direct):
Fe1 0.000 0.000 0.000
N1 0.000 0.500 0.000
N2 0.500 0.000 0.000
O1 0.000 0.000 0.500
F1 0.500 0.500 0.500


[3]
FeNO2F: optimized geometry, PBE+U.

Properties
**M_tot**: 6.000 μB per formula unit
**V**: 11.70 Å³/atom
**Crystal system**: tetragonal
**E**: -4.75 eV per atom

Cell lengths 3.848, 3.848, 3.952 Å; angles 90.00, 90.00, 90.00 degrees
Positions (direct):
Fe1 0.000 0.000 0.000
N1 0.500 0.500 0.500
O1 0.000 0.500 0.000
O2 0.500 0.000 0.000
F1 0.000 0.000 0.500


[4]
FeN2OF: optimized geometry, PBE+U.

Properties
**M_tot**: 5.872 μB per formula unit
**V**: 10.00 Å³/atom
**Crystal system**: tetragonal
**E**: -3.72 eV per atom

Cell lengths 3.580, 3.580, 3.902 Å; angles 90.00, 90.00, 90.00 degrees
Positions (direct):
Fe1 0.000 0.000 0.000
N1 0.000 0.500 0.500
N2 0.500 0.000 0.500
O1 0.500 0.500 0.000
F1 0.500 0.500 0.500


[5]
FeNO2F: optimized geometry, PBE+U.

Properties
**M_tot**: 3.768 μB per formula unit
**V**: 9.37 Å³/atom
**Crystal system**: tetragonal
**E**: -4.61 eV per atom

Cell lengths 3.592, 3.592, 3.630 Å; angles 90.00, 90.00, 90.00 degrees
Positions (direct):
Fe1 0.000 0.000 0.000
N1 0.500 0.500 0.500
O1 0.000 0.500 0.500
O2 0.500 0.000 0.500
F1 0.500 0.500 0.000


[6]
FeOsNF2: optimized geometry, PBE+U.

Properties
**M_tot**: 4.246 μB per formula unit
**V**: 13.98 Å³/atom
**Crystal system**: tetragonal
**E**: -5.86 eV per atom

Cell lengths 4.308, 4.308, 3.767 Å; angles 90.00, 90.00, 90.00 degrees
Positions (direct):
Fe1 0.000 0.000 0.000
Os1 0.500 0.500 0.500
N1 0.500 0.500 0.000
F1 0.000 0.500 0.500
F2 0.500 0.000 0.500


[7]
FeOsNF2: optimized geometry, PBE+U.

Properties
**M_tot**: 8.032 μB per formula unit
**V**: 12.77 Å³/atom
**Crystal system**: tetragonal
**E**: -5.40 eV per atom

Cell lengths 3.721, 3.721, 4.610 Å; angles 90.00, 90.00, 90.00 degrees
Positions (direct):
Fe1 0.000 0.000 0.000
Os1 0.500 0.500 0.500
N1 0.000 0.000 0.500
F1 0.000 0.500 0.000
F2 0.500 0.000 0.000


[8]
FePNF2: optimized geometry, PBE+U.

Properties
**M_tot**: 3.245 μB per formula unit
**V**: 12.71 Å³/atom
**Crystal system**: tetragonal
**E**: -4.88 eV per atom

Cell lengths 4.367, 4.367, 3.334 Å; angles 90.00, 90.00, 90.00 degrees
Positions (direct):
Fe1 0.000 0.000 0.000
P1 0.500 0.500 0.500
N1 0.500 0.500 0.000
F1 0.000 0.500 0.500
F2 0.500 0.000 0.500


[9]
FePNF2: optimized geometry, PBE+U.

Properties
**M_tot**: 5.993 μB per formula unit
**V**: 12.74 Å³/atom
**Crystal system**: tetragonal
**E**: -4.80 eV per atom

Cell lengths 3.800, 3.800, 4.411 Å; angles 90.00, 90.00, 90.00 degrees
Positions (direct):
Fe1 0.000 0.000 0.000
P1 0.500 0.500 0.500
N1 0.000 0.000 0.500
F1 0.000 0.500 0.000
F2 0.500 0.000 0.000


[10]
FePbN2F: optimized geometry, PBE+U.

Properties
**M_tot**: 4.896 μB per formula unit
**V**: 13.14 Å³/atom
**Crystal system**: tetragonal
**E**: -5.44 eV per atom

Cell lengths 3.907, 3.907, 4.303 Å; angles 90.00, 90.00, 90.00 degrees
Positions (direct):
Fe1 0.000 0.000 0.000
Pb1 0.500 0.500 0.500
N1 0.000 0.500 0.000
N2 0.500 0.000 0.000
F1 0.000 0.000 0.500


[11]
FePbNF2: optimized geometry, PBE+U.

Properties
**M_tot**: 4.157 μB per formula unit
**V**: 18.14 Å³/atom
**Crystal system**: tetragonal
**E**: -4.48 eV per atom

Cell lengths 4.500, 4.500, 4.478 Å; angles 90.00, 90.00, 90.00 degrees
Positions (direct):
Fe1 0.000 0.000 0.000
Pb1 0.500 0.500 0.500
N1 0.500 0.500 0.000
F1 0.000 0.500 0.500
F2 0.500 0.000 0.500


[12]
FePbNF2: optimized geometry, PBE+U.

Properties
**M_tot**: 4.979 μB per formula unit
**V**: 13.85 Å³/atom
**Crystal system**: tetragonal
**E**: -5.23 eV per atom

Cell lengths 4.141, 4.141, 4.039 Å; angles 90.00, 90.00, 90.00 degrees
Positions (direct):
Fe1 0.000 0.000 0.000
Pb1 0.500 0.500 0.500
N1 0.000 0.000 0.500
F1 0.000 0.500 0.000
F2 0.500 0.000 0.000


[13]
FePbN2F: optimized geometry, PBE+U.

Properties
**M_tot**: 2.979 μB per formula unit
**V**: 16.19 Å³/atom
**Crystal system**: tetragonal
**E**: -4.61 eV per atom

Cell lengths 4.301, 4.301, 4.378 Å; angles 90.00, 90.00, 90.00 degrees
Positions (direct):
Fe1 0.000 0.000 0.000
Pb1 0.500 0.500 0.500
N1 0.000 0.500 0.500
N2 0.500 0.000 0.500
F1 0.500 0.500 0.000


[14]
FePdN2F: optimized geometry, PBE+U.

Properties
**M_tot**: 5.904 μB per formula unit
**V**: 13.39 Å³/atom
**Crystal system**: tetragonal
**E**: -4.89 eV per atom

Cell lengths 3.937, 3.937, 4.318 Å; angles 90.00, 90.00, 90.00 degrees
Positions (direct):
Fe1 0.000 0.000 0.000
Pd1 0.500 0.500 0.500
N1 0.000 0.500 0.500
N2 0.500 0.000 0.500
F1 0.500 0.500 0.000


[15]
FePdNF2: optimized geometry, PBE+U.

Properties
**M_tot**: 4.102 μB per formula unit
**V**: 12.36 Å³/atom
**Crystal system**: tetragonal
**E**: -4.91 eV per atom

Cell lengths 3.848, 3.848, 4.176 Å; angles 90.00, 90.00, 90.00 degrees
Positions (direct):
Fe1 0.000 0.000 0.000
Pd1 0.500 0.500 0.500
N1 0.000 0.000 0.500
F1 0.000 0.500 0.000
F2 0.500 0.000 0.000


[16]
FePdN2F: optimized geometry, PBE+U.

Properties
**M_tot**: 3.176 μB per formula unit
**V**: 11.55 Å³/atom
**Crystal system**: tetragonal
**E**: -5.14 eV per atom

Cell lengths 3.879, 3.879, 3.838 Å; angles 90.00, 90.00, 90.00 degrees
Positions (direct):
Fe1 0.000 0.000 0.000
Pd1 0.500 0.500 0.500
N1 0.000 0.500 0.000
N2 0.500 0.000 0.000
F1 0.000 0.000 0.500


[17]
RbFeNF2: optimized geometry, PBE+U.

Properties
**M_tot**: 4.001 μB per formula unit
**V**: 14.76 Å³/atom
**Crystal system**: tetragonal
**E**: -4.91 eV per atom

Cell lengths 4.393, 4.393, 3.823 Å; angles 90.00, 90.00, 90.00 degrees
Positions (direct):
Rb1 0.000 0.000 0.000
Fe1 0.500 0.500 0.500
N1 0.500 0.500 0.000
F1 0.000 0.500 0.500
F2 0.500 0.000 0.500


[18]
RbFeNF2: optimized geometry, PBE+U.

Properties
**M_tot**: 7.970 μB per formula unit
**V**: 28.92 Å³/atom
**Crystal system**: tetragonal
**E**: -3.37 eV per atom

Cell lengths 5.245, 5.245, 5.256 Å; angles 90.00, 90.00, 90.00 degrees
Positions (direct):
Rb1 0.000 0.000 0.000
Fe1 0.500 0.500 0.500
N1 0.000 0.000 0.500
F1 0.000 0.500 0.000
F2 0.500 0.000 0.000


[19]
FeReNF2: optimized geometry, PBE+U.

Properties
**M_tot**: 3.395 μB per formula unit
**V**: 13.54 Å³/atom
**Crystal system**: tetragonal
**E**: -6.19 eV per atom

Cell lengths 4.206, 4.206, 3.827 Å; angles 90.00, 90.00, 90.00 degrees
Positions (direct):
Fe1 0.000 0.000 0.000
Re1 0.500 0.500 0.500
N1 0.500 0.500 0.000
F1 0.000 0.500 0.500
F2 0.500 0.000 0.500


[20]
FeReNF2: optimized geometry, PBE+U.

Properties
**M_tot**: 8.817 μB per formula unit
**V**: 13.20 Å³/atom
**Crystal system**: tetragonal
**E**: -5.81 eV per atom

Cell lengths 3.774, 3.774, 4.632 Å; angles 90.00, 90.00, 90.00 degrees
Positions (direct):
Fe1 0.000 0.000 0.000
Re1 0.500 0.500 0.500
N1 0.000 0.000 0.500
F1 0.000 0.500 0.000
F2 0.500 0.000 0.000